1.
Density functional theory data (PBEsol) for CaLaCu after structural relaxation.

```
data_CaLaCu
_symmetry_space_group_name_H-M 'P 3 m 1'
_symmetry_Int_Tables_number 156
_cell_length_a 3.8637
_cell_length_b 3.8637
_cell_length_c 7.0296
_cell_angle_alpha 90.00
_cell_angle_beta 90.00
_cell_angle_gamma 120.00
loop_
_symmetry_equiv_pos_as_xyz
'x,y,z'
'-y,x-y,z'
'-x+y,-x,z'
'-y,-x,z'
'-x+y,y,z'
'x,x-y,z'
loop_
_atom_site_label
_atom_site_type_symbol
_atom_site_fract_x
_atom_site_fract_y
_atom_site_fract_z
Ca1 Ca 0.0000 0.0000 0.0000
La1 La 0.3333 0.6667 0.4792
Cu1 Cu 0.6667 0.3333 0.7341
```

- magnetic moment (μB/f.u.) = 0.00
- energy above the most stable polymorph in this dataset (meV/atom) = 128
- DFT total energy (eV/f.u.) = -11.4



2.
Density functional theory data (PBEsol) for Ca2LaCu after structural relaxation.

```
data_Ca2LaCu
_symmetry_space_group_name_H-M 'A m m 2'
_symmetry_Int_Tables_number 38
_cell_length_a 3.8934
_cell_length_b 4.0531
_cell_length_c 16.5439
_cell_angle_alpha 90.00
_cell_angle_beta 90.00
_cell_angle_gamma 90.00
loop_
_symmetry_equiv_pos_as_xyz
'x,y,z'
'-x,-y,z'
'-x,y,z'
'x,-y,z'
'x,y+1/2,z+1/2'
'-x,-y+1/2,z+1/2'
'-x,y+1/2,z+1/2'
'x,-y+1/2,z+1/2'
loop_
_atom_site_label
_atom_site_type_symbol
_atom_site_fract_x
_atom_site_fract_y
_atom_site_fract_z
Ca1 Ca 0.0000 0.0000 0.0000
Ca2 Ca 0.5000 0.0000 0.3387
La1 La 0.5000 0.0000 0.6495
Cu1 Cu 0.0000 0.0000 0.2018
```

- magnetic moment (μB/f.u.) = 0.01
- energy above the most stable polymorph in this dataset (meV/atom) = 48
- DFT total energy (eV/f.u.) = -13.8



3.
Density functional theory data (PBEsol) for Ca2LaCu after structural relaxation.

```
data_Ca2LaCu
_symmetry_space_group_name_H-M 'P 4 m m'
_symmetry_Int_Tables_number 99
_cell_length_a 3.5942
_cell_length_b 3.5942
_cell_length_c 9.4124
_cell_angle_alpha 90.00
_cell_angle_beta 90.00
_cell_angle_gamma 90.00
loop_
_symmetry_equiv_pos_as_xyz
'x,y,z'
'-y,x,z'
'-x,-y,z'
'y,-x,z'
'-x,y,z'
'y,x,z'
'x,-y,z'
'-y,-x,z'
loop_
_atom_site_label
_atom_site_type_symbol
_atom_site_fract_x
_atom_site_fract_y
_atom_site_fract_z
Ca1 Ca 0.0000 0.0000 0.0000
Ca2 Ca 0.5000 0.5000 0.3200
La1 La 0.5000 0.5000 0.6820
Cu1 Cu 0.0000 0.0000 0.5061
```

- magnetic moment (μB/f.u.) = 0.00
- energy above the most stable polymorph in this dataset (meV/atom) = 0
- DFT total energy (eV/f.u.) = -13.9



4.
Density functional theory data (PBEsol) for CaLa2Cu2 after structural relaxation.

```
data_CaLa2Cu2
_symmetry_space_group_name_H-M 'P 4/m b m'
_symmetry_Int_Tables_number 127
_symmetry_space_group_name_Hall '-P 4 2ab'
_cell_length_a 8.1481
_cell_length_b 8.1481
_cell_length_c 3.8614
_cell_angle_alpha 90.00
_cell_angle_beta 90.00
_cell_angle_gamma 90.00
loop_
_atom_site_label
_atom_site_type_symbol
_atom_site_fract_x
_atom_site_fract_y
_atom_site_fract_z
Ca1 Ca 0.0000 0.0000 0.0000
La1 La 0.1595 0.3405 0.5000
Cu1 Cu 0.1199 0.6199 0.0000
```

- magnetic moment (μB/f.u.) = 0.00
- DFT total energy (eV/f.u.) = -21.8



5.
Density functional theory data (PBEsol) for Sr4CaLaTl2Cu4O14 after structural relaxation.

```
data_Sr4CaLaTl2Cu4O14
_symmetry_space_group_name_H-M 'I 4/m m m'
_symmetry_Int_Tables_number 139
_symmetry_space_group_name_Hall '-I 4 2'
_cell_length_a 5.3268
_cell_length_b 5.3268
_cell_length_c 24.2597
_cell_angle_alpha 90.00
_cell_angle_beta 90.00
_cell_angle_gamma 90.00
loop_
_atom_site_label
_atom_site_type_symbol
_atom_site_fract_x
_atom_site_fract_y
_atom_site_fract_z
Sr1 Sr 0.0000 0.0000 0.1458
Sr2 Sr 0.0000 0.0000 0.3520
Ca1 Ca 0.0000 0.0000 0.0000
La1 La 0.0000 0.0000 0.5000
Tl1 Tl 0.0000 0.5000 0.2500
Cu1 Cu 0.0000 0.5000 0.0732
O1 O 0.0000 0.0000 0.2496
O2 O 0.0000 0.5000 0.1638
O3 O 0.2483 0.2483 0.0653
```

- formation energy without anion corrections (kJ per mole of atoms) = -174.3
- magnetic moment (μB/f.u.) = 0.00
- DFT total energy (eV/f.u.) = -157.9



6.
Density functional theory data (PBEsol) for LiCaCu2 after structural relaxation.

```
data_LiCaCu2
_symmetry_space_group_name_H-M 'P 4/m m m'
_symmetry_Int_Tables_number 123
_symmetry_space_group_name_Hall '-P 4 2'
_cell_length_a 3.3105
_cell_length_b 3.3105
_cell_length_c 6.1730
_cell_angle_alpha 90.00
_cell_angle_beta 90.00
_cell_angle_gamma 90.00
loop_
_atom_site_label
_atom_site_type_symbol
_atom_site_fract_x
_atom_site_fract_y
_atom_site_fract_z
Li1 Li 0.0000 0.0000 0.0000
Ca1 Ca 0.0000 0.0000 0.5000
Cu1 Cu 0.5000 0.5000 0.1954
```

- magnetic moment (μB/f.u.) = 0.00
- energy above the most stable polymorph in this dataset (meV/atom) = 50
- DFT total energy (eV/f.u.) = -12.6



7.
Density functional theory data (PBEsol) for LiCaCu2 after structural relaxation.

```
data_LiCaCu2
_symmetry_space_group_name_H-M 'R 3 m'
_symmetry_Int_Tables_number 160
_symmetry_space_group_name_Hall 'R 3 -2"'
_cell_length_a 4.1693
_cell_length_b 4.1693
_cell_length_c 14.7526
_cell_angle_alpha 90.00
_cell_angle_beta 90.00
_cell_angle_gamma 120.00
loop_
_atom_site_label
_atom_site_type_symbol
_atom_site_fract_x
_atom_site_fract_y
_atom_site_fract_z
Li1 Li 0.0000 0.0000 0.0000
Ca1 Ca 0.0000 0.0000 0.1964
Cu1 Cu 0.0000 0.0000 0.4040
Cu2 Cu 0.0000 0.0000 0.7299
```

- magnetic moment (μB/f.u.) = 0.00
- energy above the most stable polymorph in this dataset (meV/atom) = 3
- DFT total energy (eV/f.u.) = -12.8



8.
Density functional theory data (PBEsol) for LiCaCu2 after structural relaxation.

```
data_LiCaCu2
_symmetry_space_group_name_H-M 'R -3 m'
_symmetry_Int_Tables_number 166
_symmetry_space_group_name_Hall '-R 3 2"'
_cell_length_a 4.1843
_cell_length_b 4.1843
_cell_length_c 14.6264
_cell_angle_alpha 90.00
_cell_angle_beta 90.00
_cell_angle_gamma 120.00
loop_
_atom_site_label
_atom_site_type_symbol
_atom_site_fract_x
_atom_site_fract_y
_atom_site_fract_z
Li1 Li 0.0000 0.0000 0.0000
Ca1 Ca 0.0000 0.0000 0.5000
Cu1 Cu 0.0000 0.0000 0.3040
```

- magnetic moment (μB/f.u.) = 0.00
- energy above the most stable polymorph in this dataset (meV/atom) = 0
- DFT total energy (eV/f.u.) = -12.8



9.
Density functional theory data (PBEsol) for LiCa2Cu after structural relaxation.

```
data_LiCa2Cu
_symmetry_space_group_name_H-M 'A m m 2'
_symmetry_Int_Tables_number 38
_cell_length_a 4.3392
_cell_length_b 4.2121
_cell_length_c 11.2147
_cell_angle_alpha 90.00
_cell_angle_beta 90.00
_cell_angle_gamma 90.00
loop_
_symmetry_equiv_pos_as_xyz
'x,y,z'
'-x,-y,z'
'-x,y,z'
'x,-y,z'
'x,y+1/2,z+1/2'
'-x,-y+1/2,z+1/2'
'-x,y+1/2,z+1/2'
'x,-y+1/2,z+1/2'
loop_
_atom_site_label
_atom_site_type_symbol
_atom_site_fract_x
_atom_site_fract_y
_atom_site_fract_z
Li1 Li 0.0000 0.0000 0.0000
Ca1 Ca 0.0000 0.0000 0.6999
Ca2 Ca 0.5000 0.0000 0.4121
Cu1 Cu 0.5000 0.0000 0.1244
```

- magnetic moment (μB/f.u.) = 0.00
- DFT total energy (eV/f.u.) = -10.5



10.
Density functional theory data (PBEsol) for LiCa2Cu after structural relaxation.

```
data_LiCa2Cu
_symmetry_space_group_name_H-M 'P 4/m m m'
_symmetry_Int_Tables_number 123
_symmetry_space_group_name_Hall '-P 4 2'
_cell_length_a 5.1406
_cell_length_b 5.1406
_cell_length_c 3.7109
_cell_angle_alpha 90.00
_cell_angle_beta 90.00
_cell_angle_gamma 90.00
loop_
_atom_site_label
_atom_site_type_symbol
_atom_site_fract_x
_atom_site_fract_y
_atom_site_fract_z
Li1 Li 0.0000 0.0000 0.0000
Ca1 Ca 0.0000 0.5000 0.5000
Cu1 Cu 0.5000 0.5000 0.0000
```

- magnetic moment (μB/f.u.) = 0.00
- DFT total energy (eV/f.u.) = -10.4



11.
Density functional theory data (PBEsol) for CaMg2Cu2 after structural relaxation.

```
data_CaMg2Cu2
_symmetry_space_group_name_H-M 'C m c 21'
_symmetry_Int_Tables_number 36
_cell_length_a 4.2051
_cell_length_b 17.8034
_cell_length_c 5.3297
_cell_angle_alpha 90.00
_cell_angle_beta 90.00
_cell_angle_gamma 90.00
loop_
_symmetry_equiv_pos_as_xyz
'x,y,z'
'-x,-y,z+1/2'
'-x,y,z'
'x,-y,z+1/2'
'x+1/2,y+1/2,z'
'-x+1/2,-y+1/2,z+1/2'
'-x+1/2,y+1/2,z'
'x+1/2,-y+1/2,z+1/2'
loop_
_atom_site_label
_atom_site_type_symbol
_atom_site_fract_x
_atom_site_fract_y
_atom_site_fract_z
Ca1 Ca 0.0000 0.0900 0.0000
Mg1 Mg 0.0000 0.2814 0.2316
Mg2 Mg 0.0000 0.4392 0.9923
Cu1 Cu 0.0000 0.1596 0.4907
Cu2 Cu 0.0000 0.3086 0.7404
```

- magnetic moment (μB/f.u.) = 0.00
- energy above the most stable polymorph in this dataset (meV/atom) = 5
- DFT total energy (eV/f.u.) = -14.6



12.
Density functional theory data (PBEsol) for Ca2MgCu after structural relaxation.

```
data_Ca2MgCu
_symmetry_space_group_name_H-M 'P 4 m m'
_symmetry_Int_Tables_number 99
_cell_length_a 3.4832
_cell_length_b 3.4832
_cell_length_c 8.4875
_cell_angle_alpha 90.00
_cell_angle_beta 90.00
_cell_angle_gamma 90.00
loop_
_symmetry_equiv_pos_as_xyz
'x,y,z'
'-y,x,z'
'-x,-y,z'
'y,-x,z'
'-x,y,z'
'y,x,z'
'x,-y,z'
'-y,-x,z'
loop_
_atom_site_label
_atom_site_type_symbol
_atom_site_fract_x
_atom_site_fract_y
_atom_site_fract_z
Ca1 Ca 0.0000 0.0000 0.0000
Ca2 Ca 0.5000 0.5000 0.3613
Mg1 Mg 0.5000 0.5000 0.7258
Cu1 Cu 0.0000 0.0000 0.5804
```

- magnetic moment (μB/f.u.) = 0.00
- DFT total energy (eV/f.u.) = -10.3



13.
Density functional theory data (PBEsol) for CaMg2Cu2 after structural relaxation.

```
data_CaMg2Cu2
_symmetry_space_group_name_H-M 'C 1 2/m 1'
_symmetry_Int_Tables_number 12
_cell_length_a 10.2908
_cell_length_b 4.0002
_cell_length_c 5.1818
_cell_angle_alpha 90.00
_cell_angle_beta 104.59
_cell_angle_gamma 90.00
loop_
_symmetry_equiv_pos_as_xyz
'x,y,z'
'-x,-y,-z'
'-x,y,-z'
'x,-y,z'
'x+1/2,y+1/2,z'
'-x+1/2,-y+1/2,-z'
'-x+1/2,y+1/2,-z'
'x+1/2,-y+1/2,z'
loop_
_atom_site_label
_atom_site_type_symbol
_atom_site_fract_x
_atom_site_fract_y
_atom_site_fract_z
Ca1 Ca 0.0000 0.0000 0.0000
Mg1 Mg 0.1538 0.5000 0.5759
Cu1 Cu 0.2258 0.5000 0.1101
```

- magnetic moment (μB/f.u.) = 0.00
- energy above the most stable polymorph in this dataset (meV/atom) = 0
- DFT total energy (eV/f.u.) = -14.6



14.
Density functional theory data (PBEsol) for CaMg2Cu after structural relaxation.

```
data_CaMg2Cu
_symmetry_space_group_name_H-M 'P 4 m m'
_symmetry_Int_Tables_number 99
_cell_length_a 3.3918
_cell_length_b 3.3918
_cell_length_c 7.6081
_cell_angle_alpha 90.00
_cell_angle_beta 90.00
_cell_angle_gamma 90.00
loop_
_symmetry_equiv_pos_as_xyz
'x,y,z'
'-y,x,z'
'-x,-y,z'
'y,-x,z'
'-x,y,z'
'y,x,z'
'x,-y,z'
'-y,-x,z'
loop_
_atom_site_label
_atom_site_type_symbol
_atom_site_fract_x
_atom_site_fract_y
_atom_site_fract_z
Ca1 Ca 0.0000 0.0000 0.0000
Mg1 Mg 0.0000 0.0000 0.4145
Mg2 Mg 0.5000 0.5000 0.6728
Cu1 Cu 0.5000 0.5000 0.2485
```

- magnetic moment (μB/f.u.) = 0.00
- DFT total energy (eV/f.u.) = -10.0



15.
Density functional theory data (PBEsol) for CaMg2Cu2 after structural relaxation.

```
data_CaMg2Cu2
_symmetry_space_group_name_H-M 'I m m m'
_symmetry_Int_Tables_number 71
_symmetry_space_group_name_Hall '-I 2 2'
_cell_length_a 4.5542
_cell_length_b 5.8727
_cell_length_c 7.0964
_cell_angle_alpha 90.00
_cell_angle_beta 90.00
_cell_angle_gamma 90.00
loop_
_atom_site_label
_atom_site_type_symbol
_atom_site_fract_x
_atom_site_fract_y
_atom_site_fract_z
Ca1 Ca 0.0000 0.0000 0.0000
Mg1 Mg 0.0000 0.5000 0.2037
Cu1 Cu 0.0000 0.1963 0.5000
```

- magnetic moment (μB/f.u.) = 0.00
- energy above the most stable polymorph in this dataset (meV/atom) = 55
- DFT total energy (eV/f.u.) = -14.3



16.
Density functional theory data (PBEsol) for Ca2Mg3Cu after structural relaxation.

```
data_Ca2Mg3Cu
_symmetry_space_group_name_H-M 'R -3 m'
_symmetry_Int_Tables_number 166
_symmetry_space_group_name_Hall '-R 3 2"'
_cell_length_a 5.9762
_cell_length_b 5.9762
_cell_length_c 14.1426
_cell_angle_alpha 90.00
_cell_angle_beta 90.00
_cell_angle_gamma 120.00
loop_
_atom_site_label
_atom_site_type_symbol
_atom_site_fract_x
_atom_site_fract_y
_atom_site_fract_z
Ca1 Ca 0.0000 0.0000 0.1266
Mg1 Mg 0.0000 0.5000 0.0000
Cu1 Cu 0.0000 0.0000 0.5000
```

- magnetic moment (μB/f.u.) = 0.00
- energy above the most stable polymorph in this dataset (meV/atom) = 14
- DFT total energy (eV/f.u.) = -14.1



17.
Density functional theory data (PBEsol) for Ca2MgCu2 after structural relaxation.

```
data_Ca2MgCu2
_symmetry_space_group_name_H-M 'P -3 m 1'
_symmetry_Int_Tables_number 164
_symmetry_space_group_name_Hall '-P 3 2"'
_cell_length_a 4.3536
_cell_length_b 4.3536
_cell_length_c 7.6046
_cell_angle_alpha 90.00
_cell_angle_beta 90.00
_cell_angle_gamma 120.00
loop_
_atom_site_label
_atom_site_type_symbol
_atom_site_fract_x
_atom_site_fract_y
_atom_site_fract_z
Ca1 Ca 0.3333 0.6667 0.1972
Mg1 Mg 0.0000 0.0000 0.5000
Cu1 Cu 0.3333 0.6667 0.5697
```

- magnetic moment (μB/f.u.) = 0.00
- DFT total energy (eV/f.u.) = -14.8



18.
Density functional theory data (PBEsol) for Ca2Mg3Cu after structural relaxation.

```
data_Ca2Mg3Cu
_symmetry_space_group_name_H-M 'P 63/m m c'
_symmetry_Int_Tables_number 194
_symmetry_space_group_name_Hall '-P 6c 2c'
_cell_length_a 6.0107
_cell_length_b 6.0107
_cell_length_c 9.2730
_cell_angle_alpha 90.00
_cell_angle_beta 90.00
_cell_angle_gamma 120.00
loop_
_atom_site_label
_atom_site_type_symbol
_atom_site_fract_x
_atom_site_fract_y
_atom_site_fract_z
Ca1 Ca 0.3333 0.6667 0.0573
Mg1 Mg 0.1617 0.3233 0.7500
Cu1 Cu 0.0000 0.0000 0.0000
```

- magnetic moment (μB/f.u.) = 0.00
- energy above the most stable polymorph in this dataset (meV/atom) = 0
- DFT total energy (eV/f.u.) = -14.2



19.
Density functional theory data (PBEsol) for CaMg2Cu2 after structural relaxation.

```
data_CaMg2Cu2
_symmetry_space_group_name_H-M 'P 1 21/m 1'
_symmetry_Int_Tables_number 11
_cell_length_a 4.7258
_cell_length_b 4.0869
_cell_length_c 10.6062
_cell_angle_alpha 90.00
_cell_angle_beta 96.76
_cell_angle_gamma 90.00
loop_
_symmetry_equiv_pos_as_xyz
'x,y,z'
'-x,-y,-z'
'-x,y+1/2,-z'
'x,-y+1/2,z'
loop_
_atom_site_label
_atom_site_type_symbol
_atom_site_fract_x
_atom_site_fract_y
_atom_site_fract_z
Ca1 Ca 0.1930 0.2500 0.2434
Mg1 Mg 0.2465 0.7500 0.4949
Mg2 Mg 0.3498 0.2500 0.8949
Cu1 Cu 0.1279 0.7500 0.0156
Cu2 Cu 0.2932 0.2500 0.6482
```

- magnetic moment (μB/f.u.) = 0.00
- energy above the most stable polymorph in this dataset (meV/atom) = 42
- DFT total energy (eV/f.u.) = -14.4



20.
Density functional theory data (PBEsol) for Ca2MgCu after structural relaxation.

```
data_Ca2MgCu
_symmetry_space_group_name_H-M 'C m c m'
_symmetry_Int_Tables_number 63
_symmetry_space_group_name_Hall '-C 2c 2'
_cell_length_a 3.6252
_cell_length_b 12.5326
_cell_length_c 9.1142
_cell_angle_alpha 90.00
_cell_angle_beta 90.00
_cell_angle_gamma 90.00
loop_
_atom_site_label
_atom_site_type_symbol
_atom_site_fract_x
_atom_site_fract_y
_atom_site_fract_z
Ca1 Ca 0.0000 0.1346 0.0629
Mg1 Mg 0.0000 0.4280 0.2500
Cu1 Cu 0.0000 0.2305 0.7500
```

- magnetic moment (μB/f.u.) = 0.00
- DFT total energy (eV/f.u.) = -10.5